# ScSbPdAu

A geometry-optimized ScSbPdAu structure (PBE, Alexandria).

Lattice parameters (Å, degrees): 4.7843 4.7843 4.7843 60.00 60.00 60.00
Closest atoms and distances in Å follow each position.
Atoms (fractional coordinates):
Sc  0.0000  0.0000  0.0000  4 Au 2.93, 4 Pd 2.93
Sb  0.5000  0.5000  0.5000  4 Au 2.93, 4 Pd 2.93
Pd  0.2500  0.2500  0.2500  4 Sb 2.93, 4 Sc 2.93
Au  0.7500  0.7500  0.7500  4 Sb 2.93, 4 Sc 2.93

Computed properties:
Formation energy from raw total energies in eV/f.u.: -2.43
Magnetic moment in μB/f.u.: 0.0

***

# Sn2Sb2Pd7Au

A geometry-optimized Sn2Sb2Pd7Au structure (PBE, Alexandria).

Lattice parameters (Å, degrees): 3.9710 3.9710 15.4042 94.26 94.26 90.24
Closest atoms and distances in Å follow each position.
Atoms (fractional coordinates):
Sn  0.0713  0.0713  0.2514  5 Pd 2.65-2.67
Sn  0.9287  0.9287  0.7486  5 Pd 2.65-2.67
Sb  0.3677  0.3677  0.5894  5 Pd 2.72-2.82
Sb  0.6323  0.6323  0.4106  5 Pd 2.72-2.82
Pd  0.0000  0.0000  0.0000  4 Au 2.80-2.81, 8 Pd 2.86-2.87
Pd  0.0382  0.5379  0.1348  2 Sn 2.67, 6 Pd 2.80-2.87, 2 Au 2.86-2.87
Pd  0.1380  0.1380  0.4246  1 Sn 2.65, 5 Sb 2.72-2.82, 1 Pd 2.92
Pd  0.4621  0.9618  0.8652  2 Sn 2.67, 6 Pd 2.80-2.87, 2 Au 2.86-2.87
Pd  0.5379  0.0382  0.1348  2 Sn 2.67, 6 Pd 2.80-2.87, 2 Au 2.86-2.87
Pd  0.8620  0.8620  0.5754  1 Sn 2.65, 5 Sb 2.72-2.82, 1 Pd 2.92
Pd  0.9618  0.4621  0.8652  2 Sn 2.67, 6 Pd 2.80-2.87, 2 Au 2.86-2.87
Au  0.5000  0.5000  0.0000  12 Pd 2.80-2.87

Computed properties:
Formation energy from raw total energies in eV/f.u.: -2.87
Magnetic moment in μB/f.u.: 0.0

***

# SrSbPd2Au2

A geometry-optimized SrSbPd2Au2 structure (PBE, Alexandria).

Lattice parameters (Å, degrees): 4.9785 4.9785 6.0778 90.00 90.00 90.00
Closest atoms and distances in Å follow each position.
Atoms (fractional coordinates):
Sr  0.0000  0.0000  0.0000  2 Sb 3.04
Sb  0.0000  0.0000  0.5000  4 Pd 2.49
Pd  0.0000  0.5000  0.5000  2 Sb 2.49
Pd  0.5000  0.0000  0.5000  2 Sb 2.49
Au  0.5000  0.5000  0.2350  1 Au 2.86, 4 Pd 2.96
Au  0.5000  0.5000  0.7650  1 Au 2.86, 4 Pd 2.96

Computed properties:
Formation energy from raw total energies in eV/f.u.: -1.32
Magnetic moment in μB/f.u.: 0.0

***

# Sr3Sb2Pd9Au

A geometry-optimized Sr3Sb2Pd9Au structure (PBE, Alexandria).

Lattice parameters (Å, degrees): 7.9443 7.9443 6.8211 90.00 90.00 120.00
Closest atoms and distances in Å follow each position.
Atoms (fractional coordinates):
Sr  0.0000  0.0000  0.0000  6 Pd 3.32, 2 Au 3.41
Sr  0.3333  0.6667  0.6647  6 Pd 3.13-3.24, 2 Sb 3.40-3.43
Sr  0.6667  0.3333  0.3353  6 Pd 3.13-3.24, 2 Sb 3.40-3.43
Sb  0.3333  0.6667  0.1625  6 Pd 2.53-2.55
Sb  0.6667  0.3333  0.8375  6 Pd 2.53-2.55
Pd  0.0000  0.5000  0.0000  2 Sb 2.55
Pd  0.1721  0.3442  0.3405  1 Sb 2.53, 1 Au 2.61
Pd  0.1721  0.8279  0.3405  1 Sb 2.53, 1 Au 2.61
Pd  0.3442  0.1721  0.6595  1 Sb 2.53, 1 Au 2.61
Pd  0.5000  0.0000  0.0000  2 Sb 2.55
Pd  0.5000  0.5000  0.0000  2 Sb 2.55
Pd  0.6558  0.8279  0.3405  1 Sb 2.53, 1 Au 2.61
Pd  0.8279  0.1721  0.6595  1 Sb 2.53, 1 Au 2.61
Pd  0.8279  0.6558  0.6595  1 Sb 2.53, 1 Au 2.61
Au  0.0000  0.0000  0.5000  6 Pd 2.61

Computed properties:
Formation energy from raw total energies in eV/f.u.: -4.18
Magnetic moment in μB/f.u.: 0.0

***

# Sr2Sb3Pd4Au

A geometry-optimized Sr2Sb3Pd4Au structure (PBE, Alexandria).

Lattice parameters (Å, degrees): 4.6511 4.6511 10.7670 90.00 90.00 90.00
Closest atoms and distances in Å follow each position.
Atoms (fractional coordinates):
Sr  0.0000  0.5000  0.2467  8 Pd 3.52-3.58, 6 Sb 3.53-3.56, 2 Au 3.53
Sr  0.5000  0.0000  0.7533  8 Pd 3.52-3.58, 6 Sb 3.53-3.56, 2 Au 3.53
Sb  0.0000  0.0000  0.0000  4 Pd 2.72
Sb  0.0000  0.5000  0.6265  5 Pd 2.61-2.69
Sb  0.5000  0.0000  0.3735  5 Pd 2.61-2.69
Pd  0.0000  0.0000  0.5000  4 Sb 2.69
Pd  0.0000  0.5000  0.8685  3 Sb 2.61-2.72, 2 Au 2.72
Pd  0.5000  0.0000  0.1315  3 Sb 2.61-2.72, 2 Au 2.72
Pd  0.5000  0.5000  0.5000  4 Sb 2.69
Au  0.5000  0.5000  0.0000  4 Pd 2.72

Computed properties:
Formation energy from raw total energies in eV/f.u.: -7.31
Magnetic moment in μB/f.u.: 0.0

***

# Sr2Sb4PdAu3

A geometry-optimized Sr2Sb4PdAu3 structure (PBE, Alexandria).

Lattice parameters (Å, degrees): 4.7649 4.7649 11.3986 90.00 90.00 90.00
Closest atoms and distances in Å follow each position.
Atoms (fractional coordinates):
Sr  0.0000  0.5000  0.2339  2 Pd 3.58, 6 Au 3.58-3.66, 8 Sb 3.60-3.86
Sr  0.5000  0.0000  0.7661  2 Pd 3.58, 6 Au 3.58-3.66, 8 Sb 3.60-3.86
Sb  0.0000  0.0000  0.5000  4 Au 2.88
Sb  0.0000  0.5000  0.8763  3 Au 2.67-2.77, 2 Pd 2.77
Sb  0.5000  0.0000  0.1237  3 Au 2.67-2.77, 2 Pd 2.77
Sb  0.5000  0.5000  0.5000  4 Au 2.88
Pd  0.5000  0.5000  0.0000  4 Sb 2.77
Au  0.0000  0.0000  0.0000  4 Sb 2.77
Au  0.0000  0.5000  0.6417  5 Sb 2.67-2.88
Au  0.5000  0.0000  0.3583  5 Sb 2.67-2.88

Computed properties:
Formation energy from raw total energies in eV/f.u.: -5.88
Magnetic moment in μB/f.u.: 0.0